Record 1
A crystal of Y2OsSe relaxed with PBEsol. Source: the Alexandria database, functional SCAN.

Cell: 4.8873 4.8873 4.8873 Å, 120.12 119.92 89.96°
Closest atoms and distances in Å follow each position.
Atoms (fractional coordinates):
Y1 0.2501 0.2501 0.0000  4 Os 2.99-3.00, 4 Se 2.99
Y2 0.7499 0.7499 0.0000  4 Os 2.99-3.00, 4 Se 2.99
Os1 0.5000 0.0000 0.5000  8 Y 2.99-3.00
Se1 0.0000 0.5000 0.5000  8 Y 2.99

Output
Its density of states at the Fermi level is 0.55 states/eV/atom. The energy above the lowest structure with this stoichiometry comes out at 140 kJ/mol of formula units. As for the crystal system: orthorhombic.

---

Record 2
A crystal of YOsSe2 relaxed with PBEsol. Source: the Alexandria database, functional SCAN.

Cell: 5.8711 5.8711 5.8711 Å, 147.43 136.42 55.45°
Closest atoms and distances in Å follow each position.
Atoms (fractional coordinates):
Y1 0.0000 0.0000 0.0000  6 Se 2.83-3.08, 2 Os 3.10
Os1 0.2522 0.7522 0.5000  2 Se 2.47
Se1 0.4293 0.4293 0.0000  2 Os 2.47
Se2 0.7095 0.2095 0.5000  4 Os 2.77, 2 Y 3.08

Output
Its density of states at the Fermi level is 0.39 states/eV/atom. The energy above the lowest structure with this stoichiometry comes out at 11 kJ/mol of formula units. As for the crystal system: orthorhombic.

---

Record 3
A crystal of ZnOsSe relaxed with PBEsol. Source: the Alexandria database, functional SCAN.

Cell: 4.2223 4.2223 2.9989 Å, 90.00 90.00 120.00°
Closest atoms and distances in Å follow each position.
Atoms (fractional coordinates):
Zn1 0.0000 0.0000 0.0000  6 Se 2.86, 6 Os 2.86, 2 Zn 3.00
Os1 0.6667 0.3333 0.5000  3 Se 2.44
Se1 0.3333 0.6667 0.5000  3 Os 2.44

Output
Its density of states at the Fermi level is 0.83 states/eV/atom. As for the crystal system: hexagonal.

---

Record 4
A crystal of Zr2OsSe relaxed with PBEsol. Source: the Alexandria database, functional SCAN.

Cell: 4.7262 4.7262 3.2477 Å, 90.00 90.00 102.28°
Closest atoms and distances in Å follow each position.
Atoms (fractional coordinates):
Zr1 0.0000 0.5000 0.0000  4 Se 2.87, 4 Os 2.87, 2 Zr 2.97
Zr2 0.5000 0.0000 0.0000  4 Se 2.87, 4 Os 2.87, 2 Zr 2.97
Os1 0.0000 0.0000 0.5000  8 Zr 2.87, 2 Se 2.97
Se1 0.5000 0.5000 0.5000  8 Zr 2.87, 2 Os 2.97

Output
Its density of states at the Fermi level is 0.56 states/eV/atom. As for the crystal system: orthorhombic.

---

Record 5
A crystal of ZrOs3Se relaxed with PBEsol. Source: the Alexandria database, functional SCAN.

Cell: 4.7595 4.7595 4.7595 Å, 90.00 90.00 90.00°
Closest atoms and distances in Å follow each position.
Atoms (fractional coordinates):
Zr1 0.0000 0.0000 0.0000  6 Os 2.38
Os1 0.0000 0.0000 0.5000  2 Zr 2.38
Os2 0.0000 0.5000 0.0000  2 Zr 2.38
Os3 0.5000 0.0000 0.0000  2 Zr 2.38
Se1 0.5000 0.5000 0.5000  12 Os 3.37

Output
Its density of states at the Fermi level is 1.45 states/eV/atom. As for the crystal system: cubic.

---

Record 6
A crystal of Zr2OsSe relaxed with PBEsol. Source: the Alexandria database, functional SCAN.

Cell: 4.8500 4.8500 4.8500 Å, 131.25 117.65 82.91°
Closest atoms and distances in Å follow each position.
Atoms (fractional coordinates):
Zr1 0.2477 0.2477 0.0000  2 Os 2.69, 2 Se 2.71
Zr2 0.7523 0.7523 0.0000  2 Os 2.69, 2 Se 2.71
Os1 0.0000 0.5000 0.5000  4 Zr 2.69
Se1 0.5000 0.0000 0.5000  4 Zr 2.71

Output
Its density of states at the Fermi level is 0.62 states/eV/atom. As for the crystal system: orthorhombic.

---

Computed formation energy from raw total energies (eV per atom) in order:
-0.598; -0.426; 0.578; -0.640; 2.854; -0.477
Computed ρ (g/cm3) in order:
8.99; 9.73; 12.00; 10.58; 11.41; 10.26
Computed VASP energy (eV per atom) in order:
-37.51; -35.40; -34.58; -38.98; -50.43; -38.82